## Zr2NbGe6 (PBE)

Data for a relaxed Zr2NbGe6 crystal.

ΔH_f (0 K)   -474 meV/atom

The structure in CIF format:
```
data_Zr2NbGe6
_symmetry_space_group_name_H-M 'P 1'
_symmetry_Int_Tables_number 1
_cell_length_a 5.120
_cell_length_b 5.120
_cell_length_c 7.027
_cell_angle_alpha 90.00
_cell_angle_beta 90.00
_cell_angle_gamma 120.21
loop_
_symmetry_equiv_pos_as_xyz
'x,y,z'
loop_
_atom_site_label
_atom_site_fract_x
_atom_site_fract_y
_atom_site_fract_z
Zr1 0.000 0.500 0.166
Zr2 0.500 0.000 0.834
Nb1 0.000 0.000 0.500
Ge1 0.174 0.335 0.829
Ge2 0.334 0.666 0.500
Ge3 0.335 0.174 0.171
Ge4 0.665 0.826 0.171
Ge5 0.666 0.334 0.500
Ge6 0.826 0.665 0.829
```

---

## YTiPCl2 (PBE)

Data for a relaxed YTiPCl2 crystal.

Formation energy (no corrections)   -0.5001 eV/atom

The structure in CIF format:
```
data_YTiPCl2
_symmetry_space_group_name_H-M 'P 1'
_symmetry_Int_Tables_number 1
_cell_length_a 5.073
_cell_length_b 5.073
_cell_length_c 5.609
_cell_angle_alpha 90.00
_cell_angle_beta 90.00
_cell_angle_gamma 90.00
loop_
_symmetry_equiv_pos_as_xyz
'x,y,z'
loop_
_atom_site_label
_atom_site_fract_x
_atom_site_fract_y
_atom_site_fract_z
Y1 0.000 0.000 0.000
Ti1 0.500 0.500 0.500
P1 0.000 0.000 0.500
Cl1 0.000 0.500 0.000
Cl2 0.500 0.000 0.000
```

---

## YIn2Ag (PBE)

Data for a relaxed YIn2Ag crystal.

ΔH_f (0 K)   -256 meV/atom

The structure in CIF format:
```
data_YIn2Ag
_symmetry_space_group_name_H-M 'P 1'
_symmetry_Int_Tables_number 1
_cell_length_a 5.118
_cell_length_b 5.118
_cell_length_c 5.118
_cell_angle_alpha 60.00
_cell_angle_beta 60.00
_cell_angle_gamma 60.00
loop_
_symmetry_equiv_pos_as_xyz
'x,y,z'
loop_
_atom_site_label
_atom_site_fract_x
_atom_site_fract_y
_atom_site_fract_z
Y1 0.000 0.000 0.000
In1 0.250 0.250 0.250
In2 0.500 0.500 0.500
Ag1 0.750 0.750 0.750
```